# 1
# Tb6PmDy12 | the Alexandria database | GGA-PBE | optimized geometry
data_Tb6PmDy12
_symmetry_space_group_name_H-M 'P 1'
_symmetry_Int_Tables_number 1
_cell_length_a 8.8097
_cell_length_b 8.8097
_cell_length_c 8.8097
_cell_angle_alpha 99.10
_cell_angle_beta 99.10
_cell_angle_gamma 99.10
loop_
_symmetry_equiv_pos_as_xyz
'x,y,z'
loop_
_atom_site_label
_atom_site_type_symbol
_atom_site_fract_x
_atom_site_fract_y
_atom_site_fract_z
_atom_site_occupancy
Tb1 Tb 0.2436 0.7062 0.7062 1
Tb2 Tb 0.2938 0.2938 0.7564 1
Tb3 Tb 0.2938 0.7564 0.2938 1
Tb4 Tb 0.7062 0.2436 0.7062 1
Tb5 Tb 0.7062 0.7062 0.2436 1
Tb6 Tb 0.7564 0.2938 0.2938 1
Pm1 Pm 0.5000 0.5000 0.5000 1
Dy1 Dy 0.0000 0.3825 0.6175 1
Dy2 Dy 0.0000 0.6175 0.3825 1
Dy3 Dy 0.0312 0.0312 0.3172 1
Dy4 Dy 0.0312 0.3172 0.0312 1
Dy5 Dy 0.3172 0.0312 0.0312 1
Dy6 Dy 0.3825 0.0000 0.6175 1
Dy7 Dy 0.3825 0.6175 0.0000 1
Dy8 Dy 0.6175 0.0000 0.3825 1
Dy9 Dy 0.6175 0.3825 0.0000 1
Dy10 Dy 0.6828 0.9688 0.9688 1
Dy11 Dy 0.9688 0.6828 0.9688 1
Dy12 Dy 0.9688 0.9688 0.6828 1
# Formation energy, eV/atom: 0.4434

# 2
# Tb4PmDy6 | the Alexandria database | GGA-PBE | optimized geometry
data_Tb4PmDy6
_symmetry_space_group_name_H-M 'P 1'
_symmetry_Int_Tables_number 1
_cell_length_a 5.5922
_cell_length_b 5.5922
_cell_length_c 25.6692
_cell_angle_alpha 90.00
_cell_angle_beta 90.00
_cell_angle_gamma 118.33
loop_
_symmetry_equiv_pos_as_xyz
'x,y,z'
loop_
_atom_site_label
_atom_site_type_symbol
_atom_site_fract_x
_atom_site_fract_y
_atom_site_fract_z
_atom_site_occupancy
Tb1 Tb 0.0349 0.9651 0.6212 1
Tb2 Tb 0.0349 0.9651 0.8788 1
Tb3 Tb 0.3455 0.6545 0.5427 1
Tb4 Tb 0.3455 0.6545 0.9573 1
Tb5 Tb 0.6545 0.3455 0.0427 1
Tb6 Tb 0.6545 0.3455 0.4573 1
Tb7 Tb 0.9651 0.0349 0.1212 1
Tb8 Tb 0.9651 0.0349 0.3788 1
Pm1 Pm 0.3078 0.6922 0.2500 1
Pm2 Pm 0.6922 0.3078 0.7500 1
Dy1 Dy 0.0000 0.0000 0.0000 1
Dy2 Dy 0.0000 0.0000 0.5000 1
Dy3 Dy 0.0271 0.9729 0.7500 1
Dy4 Dy 0.3058 0.6942 0.1030 1
Dy5 Dy 0.3058 0.6942 0.3970 1
Dy6 Dy 0.3625 0.6375 0.6811 1
Dy7 Dy 0.3625 0.6375 0.8189 1
Dy8 Dy 0.6375 0.3625 0.1811 1
Dy9 Dy 0.6375 0.3625 0.3189 1
Dy10 Dy 0.6942 0.3058 0.6030 1
Dy11 Dy 0.6942 0.3058 0.8970 1
Dy12 Dy 0.9729 0.0271 0.2500 1
# Offset from the most stable computed form, kcal/mol of atoms: 0.00
# Formation energy, eV/atom: 0.1236

# 3
# Tb2PmDy4 | the Alexandria database | GGA-PBE | optimized geometry
data_Tb2PmDy4
_symmetry_space_group_name_H-M 'P 1'
_symmetry_Int_Tables_number 1
_cell_length_a 6.0627
_cell_length_b 6.5965
_cell_length_c 11.5773
_cell_angle_alpha 90.00
_cell_angle_beta 104.05
_cell_angle_gamma 90.00
loop_
_symmetry_equiv_pos_as_xyz
'x,y,z'
loop_
_atom_site_label
_atom_site_type_symbol
_atom_site_fract_x
_atom_site_fract_y
_atom_site_fract_z
_atom_site_occupancy
Tb1 Tb 0.1004 0.2500 0.4919 1
Tb2 Tb 0.3423 0.7500 0.0518 1
Tb3 Tb 0.6577 0.2500 0.9482 1
Tb4 Tb 0.8996 0.7500 0.5081 1
Pm1 Pm 0.4652 0.7500 0.6391 1
Pm2 Pm 0.5348 0.2500 0.3609 1
Dy1 Dy 0.1526 0.0079 0.7895 1
Dy2 Dy 0.1526 0.4921 0.7895 1
Dy3 Dy 0.2195 0.2500 0.0760 1
Dy4 Dy 0.3545 0.7500 0.3376 1
Dy5 Dy 0.6455 0.2500 0.6624 1
Dy6 Dy 0.7805 0.7500 0.9240 1
Dy7 Dy 0.8474 0.5079 0.2105 1
Dy8 Dy 0.8474 0.9921 0.2105 1
# Offset from the most stable computed form, kcal/mol of atoms: 2.11
# Formation energy, eV/atom: 0.1275

# 4
# TbPmDy5 | the Alexandria database | GGA-PBE | optimized geometry
data_TbPmDy5
_symmetry_space_group_name_H-M 'P 1'
_symmetry_Int_Tables_number 1
_cell_length_a 6.7621
_cell_length_b 6.7621
_cell_length_c 12.1918
_cell_angle_alpha 107.42
_cell_angle_beta 107.42
_cell_angle_gamma 59.99
loop_
_symmetry_equiv_pos_as_xyz
'x,y,z'
loop_
_atom_site_label
_atom_site_type_symbol
_atom_site_fract_x
_atom_site_fract_y
_atom_site_fract_z
_atom_site_occupancy
Tb1 Tb 0.0000 0.5000 0.0000 1
Tb2 Tb 0.5000 0.0000 0.5000 1
Pm1 Pm 0.0284 0.9716 0.7500 1
Pm2 Pm 0.9716 0.0284 0.2500 1
Dy1 Dy 0.1457 0.4156 0.7526 1
Dy2 Dy 0.1897 0.6533 0.4999 1
Dy3 Dy 0.3467 0.8103 0.0001 1
Dy4 Dy 0.4116 0.5884 0.2500 1
Dy5 Dy 0.4156 0.1457 0.2526 1
Dy6 Dy 0.5844 0.8543 0.7474 1
Dy7 Dy 0.5884 0.4116 0.7500 1
Dy8 Dy 0.6533 0.1897 0.9999 1
Dy9 Dy 0.8103 0.3467 0.5001 1
Dy10 Dy 0.8543 0.5844 0.2474 1
# Offset from the most stable computed form, kcal/mol of atoms: 0.00
# Formation energy, eV/atom: 0.1901

# 5
# Tb4Pm3Dy8 | the Alexandria database | GGA-PBE | optimized geometry
data_Tb4Pm3Dy8
_symmetry_space_group_name_H-M 'P 1'
_symmetry_Int_Tables_number 1
_cell_length_a 9.2648
_cell_length_b 9.2648
_cell_length_c 6.7619
_cell_angle_alpha 111.39
_cell_angle_beta 111.39
_cell_angle_gamma 87.31
loop_
_symmetry_equiv_pos_as_xyz
'x,y,z'
loop_
_atom_site_label
_atom_site_type_symbol
_atom_site_fract_x
_atom_site_fract_y
_atom_site_fract_z
_atom_site_occupancy
Tb1 Tb 0.0000 0.0000 0.0000 1
Tb2 Tb 0.0000 0.0000 0.5000 1
Tb3 Tb 0.0000 0.5000 0.0000 1
Tb4 Tb 0.5000 0.0000 0.0000 1
Pm1 Pm 0.0000 0.5000 0.5000 1
Pm2 Pm 0.5000 0.0000 0.5000 1
Pm3 Pm 0.5000 0.5000 0.5000 1
Dy1 Dy 0.2539 0.7461 0.5000 1
Dy2 Dy 0.2632 0.2632 0.0093 1
Dy3 Dy 0.2687 0.2687 0.5371 1
Dy4 Dy 0.3585 0.6415 0.0000 1
Dy5 Dy 0.6415 0.3585 0.0000 1
Dy6 Dy 0.7313 0.7313 0.4629 1
Dy7 Dy 0.7368 0.7368 0.9907 1
Dy8 Dy 0.7461 0.2539 0.5000 1
# Formation energy, eV/atom: 0.3850

# 6
# TbPm4Dy2 | the Alexandria database | GGA-PBE | optimized geometry
data_TbPm4Dy2
_symmetry_space_group_name_H-M 'P 1'
_symmetry_Int_Tables_number 1
_cell_length_a 6.2103
_cell_length_b 6.6362
_cell_length_c 11.6613
_cell_angle_alpha 90.00
_cell_angle_beta 104.76
_cell_angle_gamma 90.00
loop_
_symmetry_equiv_pos_as_xyz
'x,y,z'
loop_
_atom_site_label
_atom_site_type_symbol
_atom_site_fract_x
_atom_site_fract_y
_atom_site_fract_z
_atom_site_occupancy
Tb1 Tb 0.1517 0.2500 0.1619 1
Tb2 Tb 0.8483 0.7500 0.8381 1
Pm1 Pm 0.0339 0.2500 0.8617 1
Pm2 Pm 0.1501 0.2500 0.4492 1
Pm3 Pm 0.3515 0.5082 0.7144 1
Pm4 Pm 0.3515 0.9918 0.7144 1
Pm5 Pm 0.6485 0.0082 0.2856 1
Pm6 Pm 0.6485 0.4918 0.2856 1
Pm7 Pm 0.8499 0.7500 0.5508 1
Pm8 Pm 0.9661 0.7500 0.1383 1
Dy1 Dy 0.2888 0.7500 0.4255 1
Dy2 Dy 0.3942 0.7500 0.0044 1
Dy3 Dy 0.6058 0.2500 0.9956 1
Dy4 Dy 0.7112 0.2500 0.5745 1
# Offset from the most stable computed form, kcal/mol of atoms: 0.00
# Formation energy, eV/atom: 0.1249

# 7
# Tb2PmDy | the Alexandria database | GGA-PBE | optimized geometry
data_Tb2PmDy
_symmetry_space_group_name_H-M 'P 1'
_symmetry_Int_Tables_number 1
_cell_length_a 5.7117
_cell_length_b 7.2980
_cell_length_c 6.3075
_cell_angle_alpha 90.00
_cell_angle_beta 90.00
_cell_angle_gamma 90.00
loop_
_symmetry_equiv_pos_as_xyz
'x,y,z'
loop_
_atom_site_label
_atom_site_type_symbol
_atom_site_fract_x
_atom_site_fract_y
_atom_site_fract_z
_atom_site_occupancy
Tb1 Tb 0.2500 0.0010 0.1658 1
Tb2 Tb 0.2500 0.4990 0.1658 1
Tb3 Tb 0.7500 0.5010 0.8342 1
Tb4 Tb 0.7500 0.9990 0.8342 1
Pm1 Pm 0.2500 0.2500 0.6668 1
Pm2 Pm 0.7500 0.7500 0.3332 1
Dy1 Dy 0.2500 0.7500 0.6674 1
Dy2 Dy 0.7500 0.2500 0.3326 1
# Offset from the most stable computed form, kcal/mol of atoms: 0.09
# Formation energy, eV/atom: 0.0176

# 8
# Tb4PmDy | the Alexandria database | GGA-PBE | optimized geometry
data_Tb4PmDy
_symmetry_space_group_name_H-M 'P 1'
_symmetry_Int_Tables_number 1
_cell_length_a 6.5967
_cell_length_b 6.5967
_cell_length_c 6.5967
_cell_angle_alpha 60.00
_cell_angle_beta 60.00
_cell_angle_gamma 60.00
loop_
_symmetry_equiv_pos_as_xyz
'x,y,z'
loop_
_atom_site_label
_atom_site_type_symbol
_atom_site_fract_x
_atom_site_fract_y
_atom_site_fract_z
_atom_site_occupancy
Tb1 Tb 0.1247 0.1247 0.1247 1
Tb2 Tb 0.1247 0.1247 0.6258 1
Tb3 Tb 0.1247 0.6258 0.1247 1
Tb4 Tb 0.6258 0.1247 0.1247 1
Pm1 Pm 0.5000 0.5000 0.5000 1
Dy1 Dy 0.7500 0.7500 0.7500 1
# Offset from the most stable computed form, kcal/mol of atoms: 5.88
# Formation energy, eV/atom: 0.2712

| no. | raw total energy (eV per atom) | size of the total moment (Bohr magnetons per cell) | D(E_F) (states/eV/atom) |
| --- | --- | --- | --- |
| 1 | -4.18 | 0.00 | 1.27 |
| 2 | -4.50 | 0.00 | 1.85 |
| 3 | -4.50 | 0.00 | 1.68 |
| 4 | -4.44 | 0.00 | 1.20 |
| 5 | -4.25 | 0.00 | 1.95 |
| 6 | -4.57 | 0.00 | 1.54 |
| 7 | -4.64 | 0.00 | 1.65 |
| 8 | -4.37 | 0.56 | 1.77 |